(1)
The following is a PBE calculation of a relaxed structure of Nd4NpBi5, from Alexandria.

Magnetization ... 0.3867 μB/atom
Energy of formation from the pure elements ... -0.73 eV per atom
Crystal system ... orthorhombic
Energy ... -58.74 eV per formula unit

a = 12.1527 Å, b = 12.1527 Å, c = 12.1527 Å
α = 158.21°, β = 149.03°, γ = 38.18°
With the nearest neighbours (Å) after each atom.
Sites, in units of the cell vectors:
Nd 0.1006 0.1006 0.0000  6 Bi 3.24-3.26
Nd 0.3001 0.3001 0.0000  6 Bi 3.24-3.29
Nd 0.6999 0.6999 0.0000  6 Bi 3.24-3.29
Nd 0.8994 0.8994 0.0000  6 Bi 3.24-3.26
Np 0.5000 0.5000 0.0000  6 Bi 3.21-3.24
Bi 0.0000 0.5000 0.5000  2 Np 3.24, 4 Nd 3.26
Bi 0.2005 0.7005 0.5000  6 Nd 3.24-3.25
Bi 0.4026 0.9026 0.5000  2 Np 3.21, 4 Nd 3.24-3.29
Bi 0.5974 0.0974 0.5000  2 Np 3.21, 4 Nd 3.24-3.29
Bi 0.7995 0.2995 0.5000  6 Nd 3.24-3.25



(2)
The following is a PBE calculation of a relaxed structure of Nd3NpBi4, from Alexandria.

Magnetization ... 0.4955 μB/atom
Energy of formation from the pure elements ... -0.68 eV per atom
Crystal system ... monoclinic
Energy ... -48.20 eV per formula unit

a = 7.9442 Å, b = 9.1859 Å, c = 7.9399 Å
α = 90.00°, β = 109.50°, γ = 90.00°
With the nearest neighbours (Å) after each atom.
Sites, in units of the cell vectors:
Nd 0.0000 0.1244 0.2500  6 Bi 3.24-3.28
Nd 0.0000 0.3742 0.7500  6 Bi 3.24-3.28
Nd 0.0000 0.6258 0.2500  6 Bi 3.24-3.28
Nd 0.0000 0.8756 0.7500  6 Bi 3.24-3.28
Nd 0.5000 0.1246 0.7500  6 Bi 3.24-3.25
Nd 0.5000 0.8754 0.2500  6 Bi 3.24-3.25
Np 0.5000 0.3746 0.2500  6 Bi 3.20-3.21
Np 0.5000 0.6254 0.7500  6 Bi 3.20-3.21
Bi 0.2521 0.1277 0.0031  1 Np 3.21, 5 Nd 3.24-3.27
Bi 0.2521 0.8723 0.5031  1 Np 3.21, 5 Nd 3.24-3.27
Bi 0.2555 0.3779 0.4995  2 Np 3.20-3.21, 4 Nd 3.25-3.28
Bi 0.2555 0.6221 0.9995  2 Np 3.20-3.21, 4 Nd 3.25-3.28
Bi 0.7445 0.3779 0.0005  2 Np 3.20-3.21, 4 Nd 3.25-3.28
Bi 0.7445 0.6221 0.5005  2 Np 3.20-3.21, 4 Nd 3.25-3.28
Bi 0.7479 0.1277 0.4969  1 Np 3.21, 5 Nd 3.24-3.27
Bi 0.7479 0.8723 0.9969  1 Np 3.21, 5 Nd 3.24-3.27



(3)
The following is a PBE calculation of a relaxed structure of NdNpBi2O8, from Alexandria.

Magnetization ... 0.0055 μB/atom
Crystal system ... monoclinic
Energy ... -91.31 eV per formula unit
Formation energy from raw total energies ... -2.181 eV/atom

a = 5.3346 Å, b = 5.3346 Å, c = 7.1773 Å
α = 90.93°, β = 90.93°, γ = 90.41°
With the nearest neighbours (Å) after each atom.
Sites, in units of the cell vectors:
Nd 0.0000 0.0000 0.0000  6 O 2.38-2.40
Np 0.0000 0.0000 0.5000  4 O 1.93-2.02
Bi 0.4864 0.4864 0.7604  3 O 2.22-2.23
Bi 0.5136 0.5136 0.2396  3 O 2.22-2.23
O 0.1709 0.1709 0.2873  1 Np 2.02
O 0.1898 0.1898 0.7371  1 Np 2.20, 1 Bi 2.23, 1 Nd 2.39
O 0.2548 0.7452 0.5000  1 Np 1.93
O 0.3147 0.6853 0.0000  2 Bi 2.22, 1 Nd 2.38
O 0.6853 0.3147 0.0000  2 Bi 2.22, 1 Nd 2.38
O 0.7452 0.2548 0.5000  1 Np 1.93
O 0.8102 0.8102 0.2629  1 Np 2.20, 1 Bi 2.23, 1 Nd 2.39
O 0.8291 0.8291 0.7127  1 Np 2.02



(4)
The following is a PBE calculation of a relaxed structure of Nd2NpBiO8, from Alexandria.

Magnetization ... 0.0041 μB/atom
Crystal system ... monoclinic
Energy ... -97.42 eV per formula unit
Formation energy from raw total energies ... -2.617 eV/atom

a = 5.2586 Å, b = 7.2276 Å, c = 5.2659 Å
α = 90.00°, β = 91.13°, γ = 90.00°
With the nearest neighbours (Å) after each atom.
Sites, in units of the cell vectors:
Nd 0.0000 0.2443 0.0000  6 O 2.26-2.50
Nd 0.0000 0.7557 0.0000  6 O 2.26-2.50
Np 0.5000 0.5000 0.5000  6 O 2.00-2.06
Bi 0.5000 0.0000 0.5000  6 O 2.27-2.47
O 0.1913 0.0000 0.1925  2 Nd 2.26, 1 Bi 2.27
O 0.2272 0.5000 0.2294  1 Np 2.00
O 0.3203 0.2851 0.6813  1 Np 2.06
O 0.3203 0.7149 0.6813  1 Np 2.06
O 0.6797 0.2851 0.3187  1 Np 2.06
O 0.6797 0.7149 0.3187  1 Np 2.06
O 0.7728 0.5000 0.7706  1 Np 2.00
O 0.8087 0.0000 0.8075  2 Nd 2.26, 1 Bi 2.27



(5)
The following is a PBE calculation of a relaxed structure of NdBiO, from Alexandria.

Magnetization ... 0.0000 μB/atom
Crystal system ... trigonal
Energy ... -19.11 eV per formula unit
Formation energy from raw total energies ... -1.835 eV/atom

a = 3.8522 Å, b = 3.8522 Å, c = 6.2118 Å
α = 90.00°, β = 90.00°, γ = 120.00°
With the nearest neighbours (Å) after each atom.
Sites, in units of the cell vectors:
Nd 0.0000 0.0000 0.0000  3 O 2.22
Bi 0.6667 0.3333 0.5007  6 O 3.82, 6 Nd 3.82, 6 Bi 3.85
O 0.3333 0.6667 0.0014  3 Nd 2.22



(6)
The following is a PBE calculation of a relaxed structure of NdBi3O6, from Alexandria.

Magnetization ... 0.0000 μB/atom
Crystal system ... monoclinic
ΔE to the lowest computed polymorph ... 10.1 meV per atom
Energy ... -63.32 eV per formula unit
Formation energy from raw total energies ... -1.716 eV/atom

a = 5.9566 Å, b = 6.4692 Å, c = 10.5343 Å
α = 90.00°, β = 124.27°, γ = 90.00°
With the nearest neighbours (Å) after each atom.
Sites, in units of the cell vectors:
Nd 0.0000 0.0000 0.0000  6 O 2.38-2.41
Nd 0.0000 0.5000 0.5000  6 O 2.38-2.41
Bi 0.2630 0.0283 0.7513  3 O 2.18-2.21
Bi 0.2630 0.4717 0.2513  3 O 2.18-2.21
Bi 0.5000 0.0000 0.5000  6 O 2.39-2.43
Bi 0.5000 0.5000 0.0000  6 O 2.39-2.43
Bi 0.7370 0.5283 0.7487  3 O 2.18-2.21
Bi 0.7370 0.9717 0.2487  3 O 2.18-2.21
O 0.0884 0.0675 0.2496  2 Bi 2.18-2.42, 1 Nd 2.41
O 0.0884 0.4325 0.7496  2 Bi 2.18-2.42, 1 Nd 2.41
O 0.2339 0.6780 0.0755  2 Bi 2.21-2.43, 1 Nd 2.38
O 0.2339 0.8220 0.5755  2 Bi 2.21-2.43, 1 Nd 2.38
O 0.4127 0.1734 0.0701  2 Bi 2.21-2.39, 1 Nd 2.41
O 0.4127 0.3266 0.5701  2 Bi 2.21-2.39, 1 Nd 2.41
O 0.5873 0.6734 0.4299  2 Bi 2.21-2.39, 1 Nd 2.41
O 0.5873 0.8266 0.9299  2 Bi 2.21-2.39, 1 Nd 2.41
O 0.7661 0.1780 0.4245  2 Bi 2.21-2.43, 1 Nd 2.38
O 0.7661 0.3220 0.9245  2 Bi 2.21-2.43, 1 Nd 2.38
O 0.9116 0.5675 0.2504  2 Bi 2.18-2.42, 1 Nd 2.41
O 0.9116 0.9325 0.7504  2 Bi 2.18-2.42, 1 Nd 2.41



(7)
The following is a PBE calculation of a relaxed structure of NdBi3O6, from Alexandria.

Magnetization ... 0.0000 μB/atom
Crystal system ... trigonal
ΔE to the lowest computed polymorph ... 0.0 meV per atom
Energy ... -63.42 eV per formula unit
Formation energy from raw total energies ... -1.726 eV/atom

a = 6.1868 Å, b = 6.1868 Å, c = 6.1868 Å
α = 60.71°, β = 60.71°, γ = 60.71°
With the nearest neighbours (Å) after each atom.
Sites, in units of the cell vectors:
Nd 0.0000 0.0000 0.0000  6 O 2.35-2.47
Bi 0.2199 0.2199 0.2199  3 O 2.26
Bi 0.5069 0.5069 0.5069  6 O 2.33-2.48
Bi 0.7245 0.7245 0.7245  6 O 2.35-2.47
O 0.1132 0.8544 0.3915  3 Bi 2.26-2.48, 1 Nd 2.47
O 0.3367 0.6399 0.8685  3 Bi 2.33-2.60, 1 Nd 2.35
O 0.3915 0.1132 0.8544  3 Bi 2.26-2.48, 1 Nd 2.47
O 0.6399 0.8685 0.3367  3 Bi 2.33-2.60, 1 Nd 2.35
O 0.8544 0.3915 0.1132  3 Bi 2.26-2.48, 1 Nd 2.47
O 0.8685 0.3367 0.6399  3 Bi 2.33-2.60, 1 Nd 2.35



(8)
The following is a PBE calculation of a relaxed structure of Nd2Bi2O, from Alexandria.

Magnetization ... 0.0000 μB/atom
Crystal system ... monoclinic
Energy ... -30.23 eV per formula unit
Formation energy from raw total energies ... -1.594 eV/atom

a = 7.2344 Å, b = 7.2344 Å, c = 11.7316 Å
α = 121.89°, β = 121.89°, γ = 34.45°
With the nearest neighbours (Å) after each atom.
Sites, in units of the cell vectors:
Nd 0.0277 0.0277 0.1928  1 O 2.30
Nd 0.1969 0.1969 0.5817  3 O 2.33-2.43
Nd 0.8031 0.8031 0.4183  3 O 2.33-2.43
Nd 0.9723 0.9723 0.8072  1 O 2.30
Bi 0.3657 0.3657 0.9346  1 Bi 3.14, 5 Nd 3.36-3.45
Bi 0.4515 0.4515 0.3433  1 Bi 3.14, 4 Nd 3.30-3.40
Bi 0.5485 0.5485 0.6567  1 Bi 3.14, 4 Nd 3.30-3.40
Bi 0.6343 0.6343 0.0654  1 Bi 3.14, 5 Nd 3.36-3.45
O 0.2104 0.2104 0.3920  4 Nd 2.30-2.43
O 0.7896 0.7896 0.6080  4 Nd 2.30-2.43